Here is an optimized crystal structure of CuIrPb2 from Alexandria. Energies are from GGA-PBE.

```
CuIrPb2
1.0
-2.4803 -3.6168 2.0800
-4.7467 -0.5068 -0.8782
-1.5873 -3.7154 -2.6899
Pb Ir Cu
2 1 1
direct
0.2500 0.2500 0.2500
0.7500 0.7500 0.7500
0.5000 0.5000 0.5000
0.0000 0.0000 0.0000
```

Computed properties:
Crystal system: cubic
Density of states at the Fermi level (states/eV/cell): 2.57
Total magnetization (μB/atom): 0.000
SG: Fm-3m, No. 225
Energy above the lowest structure with this stoichiometry (meV per atom): 198.0

---

Here is an optimized crystal structure of Cu3IrPb from Alexandria. Energies are from GGA-PBE.

```
Cu3IrPb
1.0
-4.3472 1.7464 -0.4502
-0.9709 -1.2761 4.4249
1.5199 4.1800 1.5389
Pb Ir Cu
1 1 3
direct
0.5000 0.5000 0.5000
0.0000 0.0000 0.0000
0.0000 0.5000 0.0000
0.0000 0.0000 0.5000
0.5000 0.0000 0.0000
```

Computed properties:
Crystal system: cubic
Density of states at the Fermi level (states/eV/cell): 3.90
Total magnetization (μB/atom): 0.000
SG: Pm-3m, No. 221
Energy above the lowest structure with this stoichiometry (meV per atom): 0.0

---

Here is an optimized crystal structure of CuIr2Pb from Alexandria. Energies are from GGA-PBE.

```
CuIr2Pb
1.0
-3.1012 -1.0836 -2.1023
-2.1589 -0.4681 3.4260
-1.2042 3.8879 -0.2276
Cu Ir Pb
1 2 1
direct
0.5000 0.0000 0.5000
0.0000 0.0000 0.0000
0.0000 0.5000 0.5000
0.5000 0.5000 0.0000
```

Computed properties:
Crystal system: tetragonal
Density of states at the Fermi level (states/eV/cell): 4.37
Energy (eV/atom): -5.98
Total magnetization (μB/atom): 0.000
SG: P4/mmm, No. 123

---

Here is an optimized crystal structure of PmCuIrPb from Alexandria. Energies are from GGA-PBE.

```
PmCuIrPb
1.0
4.8758 0.0000 0.0000
2.4379 4.2226 0.0000
2.4379 1.4075 3.9811
Pb Ir Cu Pm
1 1 1 1
direct
0.2500 0.2500 0.2500
0.0000 0.0000 0.0000
0.5000 0.5000 0.5000
0.7500 0.7500 0.7500
```

Computed properties:
Crystal system: cubic
Density of states at the Fermi level (states/eV/cell): 1.39
Energy (eV/atom): -5.52
Total magnetization (μB/atom): 0.000
SG: F-43m, No. 216

---

Here is an optimized crystal structure of CuRe2IrPb from Alexandria. Energies are from GGA-PBE.

```
CuRe2IrPb
1.0
-0.8043 -1.9480 -4.0412
4.3939 0.5806 -1.1543
1.0032 -4.0798 1.7669
Pb Re Ir Cu
1 2 1 1
direct
0.5000 0.5000 0.5000
0.0000 0.0000 0.5000
0.5000 0.0000 0.0000
0.0000 0.5000 0.0000
0.0000 0.0000 0.0000
```

Computed properties:
Crystal system: tetragonal
Density of states at the Fermi level (states/eV/cell): 6.08
Energy (eV/atom): -6.53
Total magnetization (μB/atom): 0.506
SG: P4/mmm, No. 123

---

Here is an optimized crystal structure of CuIrPb2Se from Alexandria. Energies are from GGA-PBE.

```
CuIrPb2Se
1.0
5.2582 0.0000 0.0000
0.0000 4.4881 0.0000
0.0000 0.0000 5.2582
Pb Ir Cu Se
2 1 1 1
direct
0.0000 0.0000 0.5000
0.5000 0.0000 0.0000
0.5000 0.5000 0.5000
0.0000 0.0000 0.0000
0.0000 0.5000 0.0000
```

Computed properties:
Energy relative to the elements, uncorrected (eV per atom): 0.855
Crystal system: tetragonal
Density of states at the Fermi level (states/eV/cell): 4.75
Total magnetization (μB/atom): 0.123
SG: P4/mmm, No. 123

---

Here is an optimized crystal structure of Cu2SiIrPb from Alexandria. Energies are from GGA-PBE.

```
Cu2SiIrPb
1.0
-4.0828 -2.2191 1.1899
2.5673 -2.9805 3.2501
-0.7184 3.1992 3.5013
Pb Si Ir Cu
1 1 1 2
direct
0.0000 0.0000 0.0000
0.5000 0.5000 0.5000
0.0000 0.5000 0.0000
0.0000 0.0000 0.5000
0.5000 0.0000 0.0000
```

Computed properties:
Energy relative to the elements, uncorrected (eV per atom): 1.527
Crystal system: tetragonal
Density of states at the Fermi level (states/eV/cell): 2.61
Total magnetization (μB/atom): 0.000
SG: P4/mmm, No. 123

---

Here is an optimized crystal structure of CuTcIrPb2 from Alexandria. Energies are from GGA-PBE.

```
CuTcIrPb2
1.0
5.3028 0.0000 0.0000
0.0000 4.6977 0.0000
0.0000 0.0000 5.3028
Pb Ir Tc Cu
2 1 1 1
direct
0.0000 0.0000 0.5000
0.5000 0.0000 0.0000
0.0000 0.5000 0.0000
0.0000 0.0000 0.0000
0.5000 0.5000 0.5000
```

Computed properties:
Crystal system: tetragonal
Density of states at the Fermi level (states/eV/cell): 3.34
Energy (eV/atom): -5.06
Total magnetization (μB/atom): 0.000
SG: P4/mmm, No. 123

---

Here is an optimized crystal structure of CuTeIrPb2 from Alexandria. Energies are from GGA-PBE.

```
CuTeIrPb2
1.0
5.2901 0.0000 0.0000
0.0000 4.8859 0.0000
0.0000 0.0000 5.2901
Pb Ir Te Cu
2 1 1 1
direct
0.0000 0.0000 0.5000
0.5000 0.0000 0.0000
0.0000 0.0000 0.0000
0.5000 0.5000 0.5000
0.0000 0.5000 0.0000
```

Computed properties:
Energy relative to the elements, uncorrected (eV per atom): 0.301
Crystal system: tetragonal
Density of states at the Fermi level (states/eV/cell): 2.77
Total magnetization (μB/atom): 0.000
SG: P4/mmm, No. 123

---

Here is an optimized crystal structure of Cu2TeIrPb from Alexandria. Energies are from GGA-PBE.

```
Cu2TeIrPb
1.0
4.7257 0.0000 0.0000
0.0000 6.1744 0.0000
0.0000 0.0000 4.7257
Pb Ir Te Cu
1 1 1 2
direct
0.0000 0.0000 0.0000
0.5000 0.5000 0.5000
0.0000 0.5000 0.0000
0.0000 0.0000 0.5000
0.5000 0.0000 0.0000
```

Computed properties:
Energy relative to the elements, uncorrected (eV per atom): 1.582
Crystal system: tetragonal
Density of states at the Fermi level (states/eV/cell): 4.68
Total magnetization (μB/atom): 0.310
SG: P4/mmm, No. 123

---

Here is an optimized crystal structure of CuIrPd2 from Alexandria. Energies are from GGA-PBE.

```
CuIrPd2
1.0
4.3552 0.0000 0.0000
2.1776 3.7717 0.0000
2.1776 1.2572 3.5553
Cu Ir Pd
1 1 2
direct
0.7500 0.7500 0.7501
0.5000 0.5000 0.4999
0.0000 0.0000 0.0001
0.2500 0.2500 0.2499
```

Computed properties:
Crystal system: cubic
Density of states at the Fermi level (states/eV/cell): 5.27
Total magnetization (μB/atom): 0.386
SG: F-43m, No. 216
Energy above the lowest structure with this stoichiometry (meV per atom): 204.4

---

Here is an optimized crystal structure of CuIrPd from Alexandria. Energies are from GGA-PBE.

```
CuIrPd
1.0
-0.5093 0.9445 -2.5118
-2.0570 -0.8546 1.5808
-0.6619 6.0470 2.4080
Ir Cu Pd
1 1 1
direct
0.6667 0.3333 0.3415
0.3333 0.6667 0.6653
0.0000 0.0000 0.9932
```

Computed properties:
Crystal system: trigonal
Density of states at the Fermi level (states/eV/cell): 4.42
Total magnetization (μB/atom): 0.000
SG: P3m1, No. 156
Energy above the lowest structure with this stoichiometry (meV per atom): 0.0

---

Here is an optimized crystal structure of Cu3IrPd from Alexandria. Energies are from GGA-PBE.

```
Cu3IrPd
1.0
4.5960 0.0000 0.0000
0.0000 4.5960 0.0000
0.0000 0.0000 4.5960
Ir Cu Pd
1 3 1
direct
0.0000 0.0000 0.0000
0.0000 0.5000 0.0000
0.0000 0.0000 0.5000
0.5000 0.0000 0.0000
0.5000 0.5000 0.5000
```

Computed properties:
Crystal system: cubic
Density of states at the Fermi level (states/eV/cell): 5.22
Total magnetization (μB/atom): 0.000
SG: Pm-3m, No. 221
Energy above the lowest structure with this stoichiometry (meV per atom): 0.0

---

Here is an optimized crystal structure of CuIrPd2 from Alexandria. Energies are from GGA-PBE.

```
CuIrPd2
1.0
2.7694 0.0000 0.0000
0.0000 2.7694 0.0000
0.0000 0.0000 7.4788
Ir Cu Pd
1 1 2
direct
0.5000 0.5000 0.5000
0.5000 0.5000 0.0000
0.0000 0.0000 0.7586
0.0000 0.0000 0.2414
```

Computed properties:
Crystal system: tetragonal
Density of states at the Fermi level (states/eV/cell): 6.25
Total magnetization (μB/atom): 0.000
SG: P4/mmm, No. 123
Energy above the lowest structure with this stoichiometry (meV per atom): 15.9

---

Here is an optimized crystal structure of Cu4IrPd from Alexandria. Energies are from GGA-PBE.

```
Cu4IrPd
1.0
4.7801 0.0000 0.0000
2.3901 4.1397 0.0000
2.3901 1.3799 3.9029
Ir Cu Pd
1 4 1
direct
0.0000 0.0000 0.0000
0.6253 0.6253 0.1240
0.6253 0.1240 0.6253
0.6253 0.6253 0.6253
0.1240 0.6253 0.6253
0.2500 0.2500 0.2500
```

Computed properties:
Crystal system: cubic
Density of states at the Fermi level (states/eV/cell): 7.14
Energy (eV/atom): -4.96
Total magnetization (μB/atom): 0.000
SG: F-43m, No. 216

---

Here is an optimized crystal structure of CuIrPd from Alexandria. Energies are from GGA-PBE.

```
CuIrPd
1.0
3.7113 0.0000 0.0000
0.0000 3.7113 0.0000
0.0000 0.0000 6.5264
Cu Pd Ir
2 2 2
direct
0.5000 0.0000 0.7909
0.0000 0.5000 0.2091
0.5000 0.0000 0.1778
0.0000 0.5000 0.8222
0.5000 0.5000 0.5000
0.0000 0.0000 0.5000
```

Computed properties:
Crystal system: tetragonal
Density of states at the Fermi level (states/eV/cell): 9.21
Total magnetization (μB/atom): 0.001
SG: P4/nmm, No. 129
Energy above the lowest structure with this stoichiometry (meV per atom): 190.4

---

Here is an optimized crystal structure of CuIrPd2 from Alexandria. Energies are from GGA-PBE.

```
CuIrPd2
1.0
-2.4712 1.2659 -2.4732
-2.2098 -2.9018 0.7228
-6.4411 3.9308 5.6525
Ir Cu Pd
2 2 4
direct
0.0000 0.0000 0.0000
0.7500 0.2500 0.5000
0.5000 0.5000 0.0000
0.2500 0.7500 0.5000
0.6263 0.1250 0.2500
0.1237 0.6250 0.2500
0.3750 0.3737 0.7500
0.8750 0.8763 0.7500
```

Computed properties:
Crystal system: tetragonal
Density of states at the Fermi level (states/eV/cell): 8.77
Total magnetization (μB/atom): 0.000
SG: I-42d, No. 122
Energy above the lowest structure with this stoichiometry (meV per atom): 433.4

---

Here is an optimized crystal structure of CuIrPd14 from Alexandria. Energies are from GGA-PBE.

```
CuIrPd14
1.0
-0.3731 -5.3609 1.3635
4.2996 1.7787 -3.0144
4.6905 1.6180 7.6450
Cu Ir Pd
1 1 14
direct
0.0436 0.9564 0.5000
0.5426 0.4574 0.5000
0.2060 0.7940 0.0000
0.7055 0.2945 0.0000
0.0449 0.4528 0.5000
0.2058 0.2929 0.0000
0.5472 0.9551 0.5000
0.7071 0.7942 0.0000
0.3733 0.1265 0.7424
0.3733 0.1265 0.2576
0.8735 0.6267 0.7424
0.8735 0.6267 0.2576
0.3761 0.6239 0.7477
0.3761 0.6239 0.2523
0.8758 0.1242 0.7491
0.8758 0.1242 0.2509
```

Computed properties:
Crystal system: orthorhombic
Density of states at the Fermi level (states/eV/cell): 32.10
Energy (eV/atom): -5.32
Total magnetization (μB/atom): 0.000
SG: Amm2, No. 38

---

Here is an optimized crystal structure of CuIrPd2 from Alexandria. Energies are from GGA-PBE.

```
CuIrPd2
1.0
-2.1588 -1.4327 -0.9374
-0.5895 -2.4664 1.0776
-6.0580 2.5395 6.0209
Ir Cu Pd
1 1 2
direct
0.5000 0.5000 0.5000
0.0000 0.0000 0.0000
0.7477 0.7477 0.7568
0.2523 0.2523 0.2432
```

Computed properties:
Crystal system: trigonal
Density of states at the Fermi level (states/eV/cell): 5.63
Total magnetization (μB/atom): 0.000
SG: R-3m, No. 166
Energy above the lowest structure with this stoichiometry (meV per atom): 0.0

---

Here is an optimized crystal structure of CuIrPd2 from Alexandria. Energies are from GGA-PBE.

```
CuIrPd2
1.0
0.0000 3.0839 3.0839
3.0839 0.0000 3.0839
3.0839 3.0839 0.0000
Ir Cu Pd
1 1 2
direct
0.5000 0.5000 0.5000
0.0000 0.0000 0.0000
0.2500 0.2500 0.2500
0.7500 0.7500 0.7500
```

Computed properties:
Crystal system: cubic
Density of states at the Fermi level (states/eV/cell): 6.79
Total magnetization (μB/atom): 0.001
SG: Fm-3m, No. 225
Energy above the lowest structure with this stoichiometry (meV per atom): 212.0